# GGA-PBE Sc2Pd2I, relaxed
# - Energy above the most stable polymorph in this dataset: 36.5 meV per atom
# - DFT total energy: -55.28 eV per cell
# - Uncorrected formation energy: -58.7 kJ/mol of atoms
data_Sc2Pd2I
_symmetry_space_group_name_H-M 'P 4/m b m'
_symmetry_Int_Tables_number 127
_symmetry_space_group_name_Hall '-P 4 2ab'
_cell_length_a 7.770
_cell_length_b 7.770
_cell_length_c 3.542
_cell_angle_alpha 90.00
_cell_angle_beta 90.00
_cell_angle_gamma 90.00
loop_
_atom_site_label
_atom_site_fract_x
_atom_site_fract_y
_atom_site_fract_z
_atom_site_occupancy
Sc1 0.156 0.344 0.000 1
Pd1 0.128 0.628 0.500 1
I1 0.000 0.000 0.000 1

---

# GGA-PBE Tb3Pm6Sc2, relaxed
# - Energy relative to the elements: 0.20 eV per atom
# - DFT total energy: -105.79 eV per cell
data_Tb3Pm6Sc2
_symmetry_space_group_name_H-M 'C 1 2/m 1'
_symmetry_Int_Tables_number 12
_cell_length_a 6.184
_cell_length_b 10.722
_cell_length_c 11.297
_cell_angle_alpha 90.00
_cell_angle_beta 100.58
_cell_angle_gamma 90.00
loop_
_symmetry_equiv_pos_as_xyz
'x,y,z'
'-x,-y,-z'
'-x,y,-z'
'x,-y,z'
'x+1/2,y+1/2,z'
'-x+1/2,-y+1/2,-z'
'-x+1/2,y+1/2,-z'
'x+1/2,-y+1/2,z'
loop_
_atom_site_label
_atom_site_fract_x
_atom_site_fract_y
_atom_site_fract_z
_atom_site_occupancy
Tb1 0.000 0.000 0.000 1
Tb2 0.000 0.334 0.000 1
Pm1 0.245 0.334 0.736 1
Pm2 0.247 0.000 0.736 1
Sc1 0.000 0.167 0.500 1

---

# GGA-PBE MnAg2Os, relaxed
# - Energy above the most stable polymorph in this dataset: 253.0 meV per atom
# - Energy relative to the elements: 0.58 eV per atom
# - DFT total energy: -47.55 eV per cell
data_MnAg2Os
_symmetry_space_group_name_H-M 'C m m m'
_symmetry_Int_Tables_number 65
_symmetry_space_group_name_Hall '-C 2 2'
_cell_length_a 5.522
_cell_length_b 8.554
_cell_length_c 2.698
_cell_angle_alpha 90.00
_cell_angle_beta 90.00
_cell_angle_gamma 90.00
loop_
_atom_site_label
_atom_site_fract_x
_atom_site_fract_y
_atom_site_fract_z
_atom_site_occupancy
Mn1 0.000 0.000 0.000 1
Ag1 0.250 0.250 0.500 1
Os1 0.000 0.500 0.000 1

---

# GGA-PBE HfNbNO2, relaxed
# - DFT total energy: -44.15 eV per cell
# - Uncorrected formation energy: -113.6 kJ/mol of atoms
data_HfNbNO2
_symmetry_space_group_name_H-M 'P 4/m m m'
_symmetry_Int_Tables_number 123
_symmetry_space_group_name_Hall '-P 4 2'
_cell_length_a 3.926
_cell_length_b 3.926
_cell_length_c 4.167
_cell_angle_alpha 90.00
_cell_angle_beta 90.00
_cell_angle_gamma 90.00
loop_
_atom_site_label
_atom_site_fract_x
_atom_site_fract_y
_atom_site_fract_z
_atom_site_occupancy
Hf1 0.000 0.000 0.000 1
Nb1 0.500 0.500 0.500 1
N1 0.500 0.500 0.000 1
O1 0.000 0.500 0.500 1

---

# GGA-PBE Ba2ZnInIr, relaxed
# - Energy above the most stable polymorph in this dataset: 0.0 meV per atom
# - Energy relative to the elements: -0.12 eV per atom
# - DFT total energy: -17.32 eV per cell
data_Ba2ZnInIr
_symmetry_space_group_name_H-M 'P 4/m m m'
_symmetry_Int_Tables_number 123
_symmetry_space_group_name_Hall '-P 4 2'
_cell_length_a 6.074
_cell_length_b 6.074
_cell_length_c 5.196
_cell_angle_alpha 90.00
_cell_angle_beta 90.00
_cell_angle_gamma 90.00
loop_
_atom_site_label
_atom_site_fract_x
_atom_site_fract_y
_atom_site_fract_z
_atom_site_occupancy
Ba1 0.000 0.500 0.000 1
Zn1 0.000 0.000 0.500 1
In1 0.500 0.500 0.500 1
Ir1 0.500 0.500 0.000 1

---

# GGA-PBE CdAsRhCl2, relaxed
# - DFT total energy: -15.19 eV per cell
# - Uncorrected formation energy: 27.3 kJ/mol of atoms
data_CdAsRhCl2
_symmetry_space_group_name_H-M 'P 4/m m m'
_symmetry_Int_Tables_number 123
_symmetry_space_group_name_Hall '-P 4 2'
_cell_length_a 4.574
_cell_length_b 4.574
_cell_length_c 5.827
_cell_angle_alpha 90.00
_cell_angle_beta 90.00
_cell_angle_gamma 90.00
loop_
_atom_site_label
_atom_site_fract_x
_atom_site_fract_y
_atom_site_fract_z
_atom_site_occupancy
Cd1 0.000 0.000 0.000 1
As1 0.500 0.500 0.000 1
Rh1 0.000 0.000 0.500 1
Cl1 0.000 0.500 0.500 1

---

# GGA-PBE Pm8Te3P3N, relaxed
# - DFT total energy: -92.57 eV per cell
# - Uncorrected formation energy: -132.4 kJ/mol of atoms
data_Pm8Te3P3N
_symmetry_space_group_name_H-M 'P -1'
_symmetry_Int_Tables_number 2
_cell_length_a 8.234
_cell_length_b 8.241
_cell_length_c 8.717
_cell_angle_alpha 61.86
_cell_angle_beta 61.84
_cell_angle_gamma 60.05
loop_
_symmetry_equiv_pos_as_xyz
'x,y,z'
'-x,-y,-z'
loop_
_atom_site_label
_atom_site_fract_x
_atom_site_fract_y
_atom_site_fract_z
_atom_site_occupancy
Pm1 0.216 0.262 0.305 1
Pm2 0.217 0.716 0.305 1
Pm3 0.238 0.284 0.695 1
Pm4 0.264 0.764 0.709 1
Te1 0.000 0.000 0.000 1
Te2 0.000 0.500 0.000 1
Te3 0.500 0.500 0.000 1
P1 0.000 0.000 0.500 1
P2 0.500 0.000 0.500 1
P3 0.500 0.500 0.500 1
N1 0.000 0.500 0.500 1

---

# GGA-PBE Tc2Se, relaxed
# - Energy above the most stable polymorph in this dataset: 312.4 meV per atom
# - DFT total energy: -94.29 eV per cell
# - Uncorrected formation energy: 20.7 kJ/mol of atoms
data_Tc2Se
_symmetry_space_group_name_H-M 'P n m a'
_symmetry_Int_Tables_number 62
_cell_length_a 5.498
_cell_length_b 4.247
_cell_length_c 7.656
_cell_angle_alpha 90.00
_cell_angle_beta 90.00
_cell_angle_gamma 90.00
loop_
_symmetry_equiv_pos_as_xyz
'x,y,z'
'-x,-y,-z'
'-x+1/2,-y,z+1/2'
'x+1/2,y,-z+1/2'
'x+1/2,-y+1/2,-z+1/2'
'-x+1/2,y+1/2,z+1/2'
'-x,y+1/2,-z'
'x,-y+1/2,z'
loop_
_atom_site_label
_atom_site_fract_x
_atom_site_fract_y
_atom_site_fract_z
_atom_site_occupancy
Tc1 0.002 0.250 0.206 1
Tc2 0.143 0.750 0.429 1
Se1 0.198 0.750 0.094 1